Computed, not measured: a crystal of SrAlP2 relaxed with PBEsol at the meta-GGA SCAN level of DFT.

Results
As for the energy relative to the elements: -365 meV/atom. The value obtained for the size of the total moment is 0.000 μB per atom.

Cell: 3.190 3.840 7.587 Å, 90.00 90.00 90.00°
Space group Pmm2 (No. 25)
Symmetry-distinct sites (fractional):
Sr 0.000 0.000 0.000
Al 0.500 0.500 0.500
P 0.000 0.000 0.603
P 0.500 0.500 0.193